# YNbCr

A relaxed YNbCr crystal (PBE, Alexandria).

Output
Energy of formation from the pure elements in eV/atom: 0.33
DOS(E_F) in states/eV per atom: 1.22
Spin magnetization in μB per cell: 0.00
Space group: C2/m
Excess energy over the best structure of this formula in the dataset in meV per atom: 69
E in eV per cell: -50.34

a = 5.7725 Å, b = 5.7725 Å, c = 5.8045 Å
α = 113.42°, β = 113.42°, γ = 45.69°
With the nearest neighbours (Å) after each atom.
Fractional coordinates of all 6 atoms:
Y: 0.1911 0.1911 0.2115  4 Cr 2.94-3.17, 3 Nb 3.09-3.22
Y: 0.8089 0.8089 0.7885  4 Cr 2.94-3.17, 3 Nb 3.09-3.22
Nb: 0.4940 0.4940 0.7318  2 Cr 2.59, 1 Nb 2.75
Nb: 0.5060 0.5060 0.2682  2 Cr 2.59, 1 Nb 2.75
Cr: 0.0920 0.0920 0.6541  1 Cr 2.00
Cr: 0.9080 0.9080 0.3459  1 Cr 2.00

***

# KMnTe2

A relaxed KMnTe2 crystal (PBE, Alexandria).

Output
DOS(E_F) in states/eV per atom: 0.27
Spin magnetization in μB per cell: 4.60
Space group: C2/m
E in eV per cell: -16.91
Formation energy without anion corrections in eV per atom: -0.089

a = 5.9778 Å, b = 5.9778 Å, c = 3.1853 Å
α = 90.09°, β = 90.09°, γ = 89.95°
With the nearest neighbours (Å) after each atom.
Fractional coordinates of all 4 atoms:
K: 0.0000 0.0000 0.0000  2 K 3.19, 8 Te 3.38-3.39
Mn: 0.5000 0.5000 0.0000  2 Mn 3.19, 8 Te 3.38-3.39
Te: 0.0000 0.5000 0.5000  2 Te 3.19, 4 Mn 3.38-3.39, 4 K 3.38-3.39
Te: 0.5000 0.0000 0.5000  2 Te 3.19, 4 Mn 3.38-3.39, 4 K 3.38-3.39

***

# GaAs2SeO

A relaxed GaAs2SeO crystal (PBE, Alexandria).

Output
DOS(E_F) in states/eV per atom: 0.66
Spin magnetization in μB per cell: 0.00
Space group: P4/mmm
Excess energy over the best structure of this formula in the dataset in meV per atom: 0
E in eV per cell: -19.34
Formation energy without anion corrections in eV per atom: 0.287

a = 4.2760 Å, b = 4.2760 Å, c = 5.0538 Å
α = 90.00°, β = 90.00°, γ = 90.00°
With the nearest neighbours (Å) after each atom.
Fractional coordinates of all 5 atoms:
Ga: 0.0000 0.0000 0.0000  4 Se 3.02, 8 As 3.31
As: 0.0000 0.5000 0.5000  2 O 2.14
As: 0.5000 0.0000 0.5000  2 O 2.14
Se: 0.5000 0.5000 0.0000  2 O 2.53
O: 0.5000 0.5000 0.5000  4 As 2.14

***

# Rb2Na6HgPd

A relaxed Rb2Na6HgPd crystal (PBE, Alexandria).

Output
Energy of formation from the pure elements in eV/atom: -0.02
DOS(E_F) in states/eV per atom: 0.48
Spin magnetization in μB per cell: 0.00
Space group: Fm-3m
E in eV per cell: -15.59

a = 8.3206 Å, b = 8.3206 Å, c = 8.3206 Å
α = 60.00°, β = 60.00°, γ = 60.00°
With the nearest neighbours (Å) after each atom.
Fractional coordinates of all 10 atoms:
Rb: 0.2500 0.2500 0.2500  12 Na 4.16
Rb: 0.7500 0.7500 0.7500  12 Na 4.16
Na: 0.2407 0.2407 0.7593  1 Pd 2.83, 1 Hg 3.05
Na: 0.2407 0.7593 0.2407  1 Pd 2.83, 1 Hg 3.05
Na: 0.2407 0.7593 0.7593  1 Pd 2.83, 1 Hg 3.05
Na: 0.7593 0.2407 0.2407  1 Pd 2.83, 1 Hg 3.05
Na: 0.7593 0.2407 0.7593  1 Pd 2.83, 1 Hg 3.05
Na: 0.7593 0.7593 0.2407  1 Pd 2.83, 1 Hg 3.05
Hg: 0.5000 0.5000 0.5000  6 Na 3.05
Pd: 0.0000 0.0000 0.0000  6 Na 2.83

***

# PaBr5

A relaxed PaBr5 crystal (PBE, Alexandria).

Output
DOS(E_F) in states/eV per atom: 0.00
Spin magnetization in μB per cell: 0.00
Space group: P2_1/c
Excess energy over the best structure of this formula in the dataset in meV per atom: 0
E in eV per cell: -105.42
Formation energy without anion corrections in eV per atom: -1.416

a = 9.0793 Å, b = 12.2353 Å, c = 13.2881 Å
α = 90.00°, β = 131.87°, γ = 90.00°
With the nearest neighbours (Å) after each atom.
Fractional coordinates of all 24 atoms:
Pa: 0.1968 0.1320 0.1487  6 Br 2.66-2.91
Pa: 0.1968 0.3680 0.6487  6 Br 2.66-2.91
Pa: 0.8032 0.6320 0.3513  6 Br 2.66-2.91
Pa: 0.8032 0.8680 0.8513  6 Br 2.66-2.91
Br: 0.0155 0.6239 0.2794  1 Pa 2.66
Br: 0.0155 0.8761 0.7794  1 Pa 2.66
Br: 0.1628 0.1521 0.6224  1 Pa 2.66
Br: 0.1628 0.3479 0.1224  1 Pa 2.66
Br: 0.1703 0.6051 0.6300  2 Pa 2.91
Br: 0.1703 0.8949 0.1300  2 Pa 2.91
Br: 0.3875 0.1229 0.0605  1 Pa 2.66
Br: 0.3875 0.3771 0.5605  1 Pa 2.66
Br: 0.4659 0.6211 0.0955  1 Pa 2.66
Br: 0.4659 0.8789 0.5955  1 Pa 2.66
Br: 0.5341 0.1211 0.4045  1 Pa 2.66
Br: 0.5341 0.3789 0.9045  1 Pa 2.66
Br: 0.6125 0.6229 0.4395  1 Pa 2.66
Br: 0.6125 0.8771 0.9395  1 Pa 2.66
Br: 0.8297 0.1051 0.8700  2 Pa 2.91
Br: 0.8297 0.3949 0.3700  2 Pa 2.91
Br: 0.8372 0.6521 0.8776  1 Pa 2.66
Br: 0.8372 0.8479 0.3776  1 Pa 2.66
Br: 0.9845 0.1239 0.2206  1 Pa 2.66
Br: 0.9845 0.3761 0.7206  1 Pa 2.66

***

# YZr2V

A relaxed YZr2V crystal (PBE, Alexandria).

Output
Energy of formation from the pure elements in eV/atom: 0.56
DOS(E_F) in states/eV per atom: 1.46
Spin magnetization in μB per cell: 4.39
Space group: I-42d
Excess energy over the best structure of this formula in the dataset in meV per atom: 378
E in eV per cell: -60.85

a = 6.3757 Å, b = 6.3757 Å, c = 6.3757 Å
α = 102.99°, β = 102.99°, γ = 123.39°
With the nearest neighbours (Å) after each atom.
Fractional coordinates of all 8 atoms:
Y: 0.0000 0.0000 0.0000  2 V 3.02, 4 Zr 3.16
Y: 0.7500 0.2500 0.5000  2 V 3.02, 4 Zr 3.16
Zr: 0.1696 0.6250 0.0446  2 V 2.68
Zr: 0.3750 0.4196 0.5446  2 V 2.68
Zr: 0.5804 0.1250 0.9554  2 V 2.68
Zr: 0.8750 0.8304 0.4554  2 V 2.68
V: 0.2500 0.7500 0.5000  4 Zr 2.68
V: 0.5000 0.5000 0.0000  4 Zr 2.68